Entry from the Alexandria database: a relaxed structure of LiPAu (GGA-PBE).

The structure in POSCAR format:
```
LiPAu
1.0
-1.3897 1.3897 6.0383
1.3897 -1.3897 6.0383
1.3897 1.3897 -6.0383
Li P Au
1 1 1
Direct
0.0000 0.0000 0.0000 Li
0.3504 0.3504 0.0000 P
0.6634 0.6634 0.0000 Au
```

Computed properties:
**Energy of formation**: -0.108 eV/atom
**Space group**: No. 107
**Total moment**: 0.00 Bohr magnetons per cell
**Uncorrected energy**: -10.92 eV/cell